# 1
# Al2CN

Al2CN after structural relaxation (PBE, the Alexandria database).

- ΔE_f (raw) (eV/atom) = -0.32
- calculated total energy (eV/atom) = -6.5764
- offset from the most stable computed form (eV per formula unit) = 0.22

```
Al2CN
1.0
-1.115 -1.789 -4.135
4.395 -1.368 -0.593
0.720 -5.347 -0.486
C Al N
2 4 2
direct
0.500 0.500 0.000
0.250 0.750 0.500
0.106 0.625 0.250
0.644 0.125 0.250
0.375 0.356 0.750
0.875 0.894 0.750
0.000 0.000 0.000
0.750 0.250 0.500
```



# 2
# Al4CN3O

Al4CN3O after structural relaxation (PBE, the Alexandria database).

- ΔE_f (raw) (eV/atom) = -0.63
- calculated total energy (eV/atom) = -6.6452

```
Al4CN3O
1.0
1.284 4.830 2.034
-4.239 0.266 -3.328
-5.582 -1.462 6.993
Al O N C
8 2 6 2
direct
0.549 0.896 0.609
0.104 0.451 0.609
0.403 0.597 0.908
0.451 0.104 0.109
0.049 0.951 0.823
0.597 0.403 0.408
0.896 0.549 0.109
0.951 0.049 0.323
0.564 0.436 0.023
0.436 0.564 0.523
0.679 0.831 0.792
0.818 0.182 0.163
0.321 0.169 0.292
0.169 0.321 0.792
0.182 0.818 0.663
0.831 0.679 0.292
0.804 0.196 0.495
0.196 0.804 0.995
```